# PBE MnMo2Rh, optimized geometry
data_MnMo2Rh
_chemical_formula_sum 'Mn1 Mo2 Rh1'
_cell_length_a 2.746
_cell_length_b 2.746
_cell_length_c 7.498
_cell_angle_alpha 90.00
_cell_angle_beta 90.00
_cell_angle_gamma 90.00
_space_group_name_H-M_alt 'P 4/m m m'
_space_group_IT_number 123
_space_group_name_Hall '-P 4 2'
loop_
_atom_site_label
_atom_site_fract_x
_atom_site_fract_y
_atom_site_fract_z
Mn1 0.000 0.000 0.000
Mo1 0.500 0.500 0.232
Rh1 0.000 0.000 0.500
# - energy above the most stable polymorph in this dataset (meV per atom) = 12.9

=====

DFT (PBE) results for an optimized crystal structure of Mn2MoRh8.

```
data_Mn2MoRh8
_chemical_formula_sum 'Mn4 Mo2 Rh16'
_cell_length_a 4.017
_cell_length_b 6.603
_cell_length_c 11.991
_cell_angle_alpha 90.00
_cell_angle_beta 90.00
_cell_angle_gamma 90.00
_space_group_name_H-M_alt 'I m m m'
_space_group_IT_number 71
_space_group_name_Hall '-I 2 2'
loop_
_atom_site_label
_atom_site_fract_x
_atom_site_fract_y
_atom_site_fract_z
Mn1 0.000 0.000 0.197
Mo1 0.000 0.000 0.500
Rh1 0.000 0.202 0.000
Rh2 0.000 0.286 0.344
Rh3 0.000 0.500 0.149
```

=====

# PBE MnMoRh, optimized geometry
data_MnMoRh
_chemical_formula_sum 'Mn4 Mo4 Rh4'
_cell_length_a 5.764
_cell_length_b 5.764
_cell_length_c 5.764
_cell_angle_alpha 90.00
_cell_angle_beta 90.00
_cell_angle_gamma 90.00
_space_group_name_H-M_alt 'F -4 3 m'
_space_group_IT_number 216
_space_group_name_Hall 'F -4 2 3'
loop_
_atom_site_label
_atom_site_fract_x
_atom_site_fract_y
_atom_site_fract_z
Mn1 0.000 0.000 0.000
Mo1 0.250 0.250 0.250
Rh1 0.250 0.250 0.750
# - energy above the most stable polymorph in this dataset (meV per atom) = 518.4

=====

| no. | energy relative to the elements (eV/atom) | volume (Å³/cell) |
| --- | --- | --- |
| 1 | 0.017 | 56.5 |
| 2 | -0.044 | 318.0 |
| 3 | 0.507 | 191.5 |